i:
This record from the Alexandria database describes ZrRe2Mo after structural relaxation. The functional is PBE.

a = 3.184 Å, b = 4.569 Å, c = 9.142 Å
α = 90.00°, β = 90.00°, γ = 90.00°
Space group Imm2 (No. 44)
Unique sites:
Zr 0.000 0.000 0.000
Re 0.000 0.000 0.501
Re 0.000 0.500 0.244
Mo 0.000 0.500 0.756

* density: 13.97 g/cm3

ii:
This record from the Alexandria database describes ZrRe2Mo after structural relaxation. The functional is PBE.

a = 3.202 Å, b = 4.536 Å, c = 4.551 Å
α = 90.00°, β = 90.00°, γ = 90.00°
Space group Pmmm (No. 47)
Unique sites:
Zr 0.000 0.000 0.000
Re 0.000 0.500 0.500
Re 0.500 0.000 0.500
Mo 0.500 0.500 0.000

* density: 14.06 g/cm3

iii:
This record from the Alexandria database describes ZrRe2Mo after structural relaxation. The functional is PBE.

a = 2.8252 Å, b = 2.8252 Å, c = 29.2318 Å
α = 90.00°, β = 90.00°, γ = 120.00°
Space group R3m (No. 160, hexagonal axes)
Unique sites:
Zr 0.0000 0.0000 0.0000
Re 0.0000 0.0000 0.4961
Re 0.0000 0.0000 0.7564
Mo 0.0000 0.0000 0.2418

* density: 13.80 g/cm3

iv:
This record from the Alexandria database describes ZrRe2Mo after structural relaxation. The functional is PBE.

a = 5.539 Å, b = 9.068 Å, c = 2.791 Å
α = 90.00°, β = 109.73°, γ = 90.00°
Space group C2/m (No. 12)
Unique sites:
Zr 0.000 0.000 0.000
Re 0.250 0.250 0.500
Mo 0.000 0.500 0.000

* density: 14.08 g/cm3

i wins, 0.013 eV/atom ahead of the next structure.

i:
This record from the Alexandria database describes ZrRe2Mo after structural relaxation. The functional is PBE.

a = 6.410 Å, b = 6.410 Å, c = 6.410 Å
α = 90.00°, β = 90.00°, γ = 90.00°
Space group F-43m (No. 216)
Unique sites:
Zr 0.000 0.000 0.000
Re 0.000 0.000 0.500
Re 0.250 0.250 0.750
Mo 0.250 0.250 0.250

* density: 14.12 g/cm3

ii:
This record from the Alexandria database describes ZrRe2Mo after structural relaxation. The functional is PBE.

a = 6.423 Å, b = 6.423 Å, c = 6.423 Å
α = 90.00°, β = 90.00°, γ = 90.00°
Space group Fm-3m (No. 225)
Unique sites:
Zr 0.000 0.000 0.000
Re 0.250 0.250 0.250
Mo 0.000 0.000 0.500

* density: 14.03 g/cm3

ii wins, 0.037 eV/atom ahead of the next structure.

i:
This record from the Alexandria database describes ZrRe2Mo after structural relaxation. The functional is PBE.

a = 2.795 Å, b = 4.514 Å, c = 5.323 Å
α = 90.00°, β = 100.04°, γ = 90.00°
Space group Pm (No. 6)
Unique sites:
Zr 0.000 0.000 0.000
Re 0.252 0.500 0.745
Re 0.508 0.000 0.500
Mo 0.751 0.500 0.261

* density: 14.05 g/cm3

ii:
This record from the Alexandria database describes ZrRe2Mo after structural relaxation. The functional is PBE.

a = 2.795 Å, b = 4.525 Å, c = 5.305 Å
α = 90.00°, β = 100.01°, γ = 90.00°
Space group P2/m (No. 10)
Unique sites:
Zr 0.000 0.000 0.000
Re 0.256 0.500 0.742
Mo 0.500 0.000 0.500

* density: 14.06 g/cm3

ii wins, 0.006 eV/atom ahead of the next structure.

i:
This record from the Alexandria database describes ZrReMo2 after structural relaxation. The functional is PBE.

a = 7.384 Å, b = 7.384 Å, c = 5.471 Å
α = 90.00°, β = 90.00°, γ = 90.00°
Space group I-42d (No. 122)
Unique sites:
Zr 0.000 0.000 0.000
Re 0.000 0.000 0.500
Mo 0.215 0.250 0.625

* density: 10.45 g/cm3

ii:
This record from the Alexandria database describes ZrReMo2 after structural relaxation. The functional is PBE.

a = 3.0258 Å, b = 3.0258 Å, c = 26.1555 Å
α = 90.00°, β = 90.00°, γ = 120.00°
Space group R3m (No. 160, hexagonal axes)
Unique sites:
Zr 0.0000 0.0000 0.0000
Re 0.0000 0.0000 0.7553
Mo 0.0000 0.0000 0.2446
Mo 0.0000 0.0000 0.5007

* density: 11.27 g/cm3

ii wins, 0.310 eV/atom ahead of the next structure.

i:
This record from the Alexandria database describes ZrRe3Mo after structural relaxation. The functional is PBE.

a = 4.679 Å, b = 4.679 Å, c = 4.679 Å
α = 90.00°, β = 90.00°, γ = 90.00°
Space group Pm-3m (No. 221)
Unique sites:
Zr 0.000 0.000 0.000
Re 0.000 0.500 0.500
Mo 0.500 0.500 0.500

* density: 12.09 g/cm3

ii:
This record from the Alexandria database describes ZrRe3Mo after structural relaxation. The functional is PBE.

a = 4.693 Å, b = 4.693 Å, c = 4.693 Å
α = 90.00°, β = 90.00°, γ = 90.00°
Space group Pm-3m (No. 221)
Unique sites:
Zr 0.000 0.000 0.000
Re 0.000 0.000 0.500
Mo 0.500 0.500 0.500

* density: 11.98 g/cm3

i wins, 1.155 eV/atom ahead of the next structure.

i:
This record from the Alexandria database describes Mo5Rh after structural relaxation. The functional is PBE.

a = 7.301 Å, b = 7.301 Å, c = 7.301 Å
α = 90.00°, β = 90.00°, γ = 90.00°
Space group F-43m (No. 216)
Unique sites:
Mo 0.000 0.000 0.000
Mo 0.126 0.126 0.374
Rh 0.250 0.250 0.750

* density: 9.94 g/cm3

ii:
This record from the Alexandria database describes Mo5Rh after structural relaxation. The functional is PBE.

a = 10.559 Å, b = 2.668 Å, c = 6.905 Å
α = 90.00°, β = 104.25°, γ = 90.00°
Space group Cm (No. 8)
Unique sites:
Mo 0.000 0.000 0.000
Mo 0.058 0.000 0.641
Mo 0.166 0.500 0.336
Mo 0.324 0.000 0.679
Mo 0.396 0.000 0.289
Rh 0.225 0.500 0.961

* density: 10.26 g/cm3

iii:
This record from the Alexandria database describes Mo5Rh after structural relaxation. The functional is PBE.

a = 4.430 Å, b = 13.274 Å, c = 3.195 Å
α = 90.00°, β = 90.00°, γ = 90.00°
Space group Cmmm (No. 65)
Unique sites:
Mo 0.000 0.000 0.000
Mo 0.000 0.162 0.500
Mo 0.000 0.329 0.000
Rh 0.000 0.500 0.500

* density: 10.30 g/cm3

iv:
This record from the Alexandria database describes Mo5Rh after structural relaxation. The functional is PBE.

a = 5.1831 Å, b = 5.1831 Å, c = 4.4494 Å
α = 90.00°, β = 90.00°, γ = 120.00°
Space group P6/mmm (No. 191)
Unique sites:
Mo 0.0000 0.5000 0.0000
Mo 0.3333 0.6667 0.5000
Rh 0.0000 0.0000 0.5000

* density: 9.35 g/cm3

iii wins, 0.091 eV/atom ahead of the next structure.

i:
This record from the Alexandria database describes Mo4Rh after structural relaxation. The functional is PBE.

a = 6.984 Å, b = 6.984 Å, c = 3.208 Å
α = 90.00°, β = 90.00°, γ = 90.00°
Space group I4/m (No. 87)
Unique sites:
Mo 0.109 0.692 0.000
Rh 0.000 0.000 0.500

* density: 10.33 g/cm3

ii:
This record from the Alexandria database describes Mo4Rh after structural relaxation. The functional is PBE.

a = 4.048 Å, b = 4.048 Å, c = 11.008 Å
α = 90.00°, β = 90.00°, γ = 90.00°
Space group I4/mmm (No. 139)
Unique sites:
Mo 0.000 0.000 0.112
Mo 0.000 0.500 0.250
Rh 0.000 0.000 0.500

* density: 8.96 g/cm3

iii:
This record from the Alexandria database describes Mo4Rh after structural relaxation. The functional is PBE.

a = 4.632 Å, b = 4.632 Å, c = 4.632 Å
α = 90.00°, β = 90.00°, γ = 90.00°
Space group Pm-3m (No. 221)
Unique sites:
Mo 0.000 0.000 0.000
Mo 0.000 0.500 0.500
Rh 0.500 0.500 0.500

* density: 8.13 g/cm3

iv:
This record from the Alexandria database describes Mo4Rh after structural relaxation. The functional is PBE.

a = 5.763 Å, b = 5.763 Å, c = 5.763 Å
α = 90.00°, β = 90.00°, γ = 90.00°
Space group Im-3m (No. 229)
Unique sites:
Mo 0.250 0.250 0.250
Rh 0.000 0.000 0.000

* density: 8.44 g/cm3

i wins, 0.837 eV/atom ahead of the next structure.

i:
This record from the Alexandria database describes Mo4Rh3 after structural relaxation. The functional is PBE.

a = 3.249 Å, b = 3.249 Å, c = 20.380 Å
α = 90.00°, β = 90.00°, γ = 90.00°
Space group I4/mmm (No. 139)
Unique sites:
Mo 0.000 0.000 0.075
Mo 0.000 0.000 0.354
Rh 0.000 0.000 0.212
Rh 0.000 0.000 0.500

* density: 10.69 g/cm3

ii:
This record from the Alexandria database describes Mo4Rh3 after structural relaxation. The functional is PBE.

a = 5.0646 Å, b = 5.0646 Å, c = 4.8443 Å
α = 90.00°, β = 90.00°, γ = 120.00°
Space group P6/mmm (No. 191)
Unique sites:
Mo 0.0000 0.0000 0.2392
Mo 0.3333 0.6667 0.0000
Rh 0.0000 0.5000 0.5000

* density: 10.69 g/cm3

ii wins, 0.085 eV/atom ahead of the next structure.